Record 1
The following is a DFT calculation (PBE-GGA) of crystalline CdSeI3 at its relaxed geometry.

Results
As for the space group: Pm-3m, No. 221.

a = 5.775 Å, b = 5.775 Å, c = 5.775 Å
α = 90.00°, β = 90.00°, γ = 90.00°
Fractional positions:
Cd1 0.500 0.500 0.500
I1 0.000 0.500 0.000
I2 0.500 0.000 0.000
I3 0.000 0.000 0.500
Se1 0.000 0.000 0.000

Record 2
The following is a DFT calculation (PBE-GGA) of crystalline CdSe2I at its relaxed geometry.

Results
As for the space group: R-3m, No. 166.

a = 8.676 Å, b = 8.676 Å, c = 8.676 Å
α = 27.93°, β = 27.93°, γ = 27.93°
Fractional positions:
Cd1 0.500 0.500 0.500
Se1 0.109 0.109 0.109
Se2 0.891 0.891 0.891
I1 0.000 0.000 0.000

Record 3
The following is a DFT calculation (PBE-GGA) of crystalline Cd2SeI at its relaxed geometry.

Results
As for the space group: P1, No. 1.

a = 4.835 Å, b = 4.822 Å, c = 6.526 Å
α = 89.96°, β = 89.92°, γ = 90.07°
Fractional positions:
Cd1 0.766 0.296 0.504
Se1 0.767 0.796 0.695
Cd2 0.267 0.796 0.885
I1 0.267 0.296 0.195

Record 4
The following is a DFT calculation (PBE-GGA) of crystalline Cd2SeI at its relaxed geometry.

Results
As for the space group: Fm-3m, No. 225.

a = 5.294 Å, b = 5.294 Å, c = 5.294 Å
α = 60.00°, β = 60.00°, γ = 60.00°
Fractional positions:
Se1 0.000 0.000 0.000
Cd1 0.250 0.250 0.250
I1 0.500 0.500 0.500
Cd2 0.750 0.750 0.750

Number 1: uncorrected formation energy 127 meV/atom, E above lowest polymorph 0 kJ/mol of formula units. Number 2: uncorrected formation energy -127 meV/atom, E above lowest polymorph 0 kJ/mol of formula units. Number 3: uncorrected formation energy -320 meV/atom, E above lowest polymorph 1 kJ/mol of formula units. Number 4: uncorrected formation energy 0 meV/atom, E above lowest polymorph 124 kJ/mol of formula units.